# 1
VASP calculation (PBE) on crystalline LaCr2W at its relaxed geometry.

```
data_LaCr2W
_chemical_formula_sum 'La1 Cr2 W1'
_space_group_name_H-M_alt 'P 4/m m m'
_space_group_IT_number 123
_space_group_name_Hall '-P 4 2'
_cell_length_a 4.686
_cell_length_b 4.686
_cell_length_c 3.145
_cell_angle_alpha 90.00
_cell_angle_beta 90.00
_cell_angle_gamma 90.00
loop_
_atom_site_label
_atom_site_type_symbol
_atom_site_fract_x
_atom_site_fract_y
_atom_site_fract_z
La1 La 0.000 0.000 0.000
Cr1 Cr 0.000 0.500 0.500
W1 W 0.500 0.500 0.000
```

As for the calculated formation energy: 18.2 kcal/mol of atoms.

---

# 2
VASP calculation (PBE) on crystalline LaCrW2 at its relaxed geometry.

```
data_LaCrW2
_chemical_formula_sum 'La2 Cr2 W4'
_space_group_name_H-M_alt 'C 1 2/m 1'
_space_group_IT_number 12
_cell_length_a 9.857
_cell_length_b 3.071
_cell_length_c 5.259
_cell_angle_alpha 90.00
_cell_angle_beta 103.73
_cell_angle_gamma 90.00
loop_
_space_group_symop_operation_xyz
'x,y,z'
'-x,-y,-z'
'-x,y,-z'
'x,-y,z'
'x+1/2,y+1/2,z'
'-x+1/2,-y+1/2,-z'
'-x+1/2,y+1/2,-z'
'x+1/2,-y+1/2,z'
loop_
_atom_site_label
_atom_site_type_symbol
_atom_site_fract_x
_atom_site_fract_y
_atom_site_fract_z
La1 La 0.000 0.000 0.000
Cr1 Cr 0.000 0.500 0.500
W1 W 0.210 0.000 0.670
```

As for the calculated formation energy: 16.8 kcal/mol of atoms.

---

# 3
VASP calculation (PBE) on crystalline LaCrW2 at its relaxed geometry.

```
data_LaCrW2
_chemical_formula_sum 'La2 Cr2 W4'
_space_group_name_H-M_alt 'C m m m'
_space_group_IT_number 65
_space_group_name_Hall '-C 2 2'
_cell_length_a 5.265
_cell_length_b 10.155
_cell_length_c 2.739
_cell_angle_alpha 90.00
_cell_angle_beta 90.00
_cell_angle_gamma 90.00
loop_
_atom_site_label
_atom_site_type_symbol
_atom_site_fract_x
_atom_site_fract_y
_atom_site_fract_z
La1 La 0.000 0.000 0.000
Cr1 Cr 0.000 0.500 0.000
W1 W 0.250 0.250 0.500
```

As for the calculated formation energy: 22.7 kcal/mol of atoms.

---

# 4
VASP calculation (PBE) on crystalline LaCrW2 at its relaxed geometry.

```
data_LaCrW2
_chemical_formula_sum 'La2 Cr2 W4'
_space_group_name_H-M_alt 'C 1 2/m 1'
_space_group_IT_number 12
_cell_length_a 5.437
_cell_length_b 9.737
_cell_length_c 2.831
_cell_angle_alpha 90.00
_cell_angle_beta 108.01
_cell_angle_gamma 90.00
loop_
_space_group_symop_operation_xyz
'x,y,z'
'-x,-y,-z'
'-x,y,-z'
'x,-y,z'
'x+1/2,y+1/2,z'
'-x+1/2,-y+1/2,-z'
'-x+1/2,y+1/2,-z'
'x+1/2,-y+1/2,z'
loop_
_atom_site_label
_atom_site_type_symbol
_atom_site_fract_x
_atom_site_fract_y
_atom_site_fract_z
La1 La 0.000 0.000 0.000
Cr1 Cr 0.000 0.500 0.000
W1 W 0.250 0.250 0.500
```

As for the calculated formation energy: 19.7 kcal/mol of atoms.

---

# 5
VASP calculation (PBE) on crystalline LaCrW2 at its relaxed geometry.

```
data_LaCrW2
_chemical_formula_sum 'La3 Cr3 W6'
_space_group_name_H-M_alt 'R 3 m'
_space_group_IT_number 160
_space_group_name_Hall 'R 3 -2"'
_cell_length_a 3.0249
_cell_length_b 3.0249
_cell_length_c 28.1599
_cell_angle_alpha 90.00
_cell_angle_beta 90.00
_cell_angle_gamma 120.00
loop_
_atom_site_label
_atom_site_type_symbol
_atom_site_fract_x
_atom_site_fract_y
_atom_site_fract_z
La1 La 0.0000 0.0000 0.0000
Cr1 Cr 0.0000 0.0000 0.2390
W1 W 0.0000 0.0000 0.5088
W2 W 0.0000 0.0000 0.7659
```

As for the calculated formation energy: 18.1 kcal/mol of atoms.

---

# 6
VASP calculation (PBE) on crystalline LaCrW2 at its relaxed geometry.

```
data_LaCrW2
_chemical_formula_sum 'La4 Cr4 W8'
_space_group_name_H-M_alt 'I 41/a m d'
_space_group_IT_number 141
_cell_length_a 4.943
_cell_length_b 4.943
_cell_length_c 16.599
_cell_angle_alpha 90.00
_cell_angle_beta 90.00
_cell_angle_gamma 90.00
loop_
_space_group_symop_operation_xyz
'x,y,z'
'-x,-y,-z'
'-y+1/4,x+3/4,z+1/4'
'y+1/4,-x+3/4,-z+1/4'
'-x+1/2,-y,z+1/2'
'x+1/2,y,-z+1/2'
'y+1/4,-x+1/4,z+3/4'
'-y+1/4,x+1/4,-z+3/4'
'x,-y,-z'
'-x,y,z'
'-y+1/4,-x+1/4,-z+3/4'
'y+1/4,x+1/4,z+3/4'
'-x+1/2,y,-z+1/2'
'x+1/2,-y,z+1/2'
'y+1/4,x+3/4,-z+1/4'
'-y+1/4,-x+3/4,z+1/4'
'x+1/2,y+1/2,z+1/2'
'-x+1/2,-y+1/2,-z+1/2'
'-y+3/4,x+1/4,z+3/4'
'y+3/4,-x+1/4,-z+3/4'
'-x,-y+1/2,z'
'x,y+1/2,-z'
'y+3/4,-x+3/4,z+1/4'
'-y+3/4,x+3/4,-z+1/4'
'x+1/2,-y+1/2,-z+1/2'
'-x+1/2,y+1/2,z+1/2'
'-y+3/4,-x+3/4,-z+1/4'
'y+3/4,x+3/4,z+1/4'
'-x,y+1/2,-z'
'x,-y+1/2,z'
'y+3/4,x+1/4,-z+3/4'
'-y+3/4,-x+1/4,z+3/4'
loop_
_atom_site_label
_atom_site_type_symbol
_atom_site_fract_x
_atom_site_fract_y
_atom_site_fract_z
La1 La 0.000 0.250 0.375
Cr1 Cr 0.000 0.250 0.875
W1 W 0.000 0.000 0.000
```

As for the calculated formation energy: 28.7 kcal/mol of atoms.

---

# 7
VASP calculation (PBE) on crystalline LaCr2W at its relaxed geometry.

```
data_LaCr2W
_chemical_formula_sum 'La1 Cr2 W1'
_space_group_name_H-M_alt 'P 1 2/m 1'
_space_group_IT_number 10
_cell_length_a 2.921
_cell_length_b 4.113
_cell_length_c 6.395
_cell_angle_alpha 90.00
_cell_angle_beta 100.21
_cell_angle_gamma 90.00
loop_
_space_group_symop_operation_xyz
'x,y,z'
'-x,-y,-z'
'-x,y,-z'
'x,-y,z'
loop_
_atom_site_label
_atom_site_type_symbol
_atom_site_fract_x
_atom_site_fract_y
_atom_site_fract_z
La1 La 0.000 0.000 0.000
Cr1 Cr 0.194 0.500 0.654
W1 W 0.500 0.000 0.500
```

As for the calculated formation energy: 12.9 kcal/mol of atoms.

---

# 8
VASP calculation (PBE) on crystalline LaCr2W at its relaxed geometry.

```
data_LaCr2W
_chemical_formula_sum 'La2 Cr4 W2'
_space_group_name_H-M_alt 'C 1 2/m 1'
_space_group_IT_number 12
_cell_length_a 6.039
_cell_length_b 8.415
_cell_length_c 2.834
_cell_angle_alpha 90.00
_cell_angle_beta 112.56
_cell_angle_gamma 90.00
loop_
_space_group_symop_operation_xyz
'x,y,z'
'-x,-y,-z'
'-x,y,-z'
'x,-y,z'
'x+1/2,y+1/2,z'
'-x+1/2,-y+1/2,-z'
'-x+1/2,y+1/2,-z'
'x+1/2,-y+1/2,z'
loop_
_atom_site_label
_atom_site_type_symbol
_atom_site_fract_x
_atom_site_fract_y
_atom_site_fract_z
La1 La 0.000 0.000 0.000
Cr1 Cr 0.250 0.250 0.500
W1 W 0.000 0.500 0.000
```

As for the calculated formation energy: 20.2 kcal/mol of atoms.

---

# 9
VASP calculation (PBE) on crystalline LaY3Cr at its relaxed geometry.

```
data_LaY3Cr
_chemical_formula_sum 'La1 Y3 Cr1'
_space_group_name_H-M_alt 'P m -3 m'
_space_group_IT_number 221
_space_group_name_Hall '-P 4 2 3'
_cell_length_a 5.449
_cell_length_b 5.449
_cell_length_c 5.449
_cell_angle_alpha 90.00
_cell_angle_beta 90.00
_cell_angle_gamma 90.00
loop_
_atom_site_label
_atom_site_type_symbol
_atom_site_fract_x
_atom_site_fract_y
_atom_site_fract_z
La1 La 0.000 0.000 0.000
Y1 Y 0.000 0.500 0.500
Cr1 Cr 0.500 0.500 0.500
```

As for the calculated formation energy: 7.9 kcal/mol of atoms.

---

# 10
VASP calculation (PBE) on crystalline LaY2Cr at its relaxed geometry.

```
data_LaY2Cr
_chemical_formula_sum 'La2 Y4 Cr2'
_space_group_name_H-M_alt 'C m m m'
_space_group_IT_number 65
_space_group_name_Hall '-C 2 2'
_cell_length_a 7.076
_cell_length_b 8.813
_cell_length_c 3.716
_cell_angle_alpha 90.00
_cell_angle_beta 90.00
_cell_angle_gamma 90.00
loop_
_atom_site_label
_atom_site_type_symbol
_atom_site_fract_x
_atom_site_fract_y
_atom_site_fract_z
La1 La 0.000 0.000 0.000
Y1 Y 0.250 0.250 0.500
Cr1 Cr 0.000 0.500 0.000
```

As for the calculated formation energy: 8.8 kcal/mol of atoms.

---

# 11
VASP calculation (PBE) on crystalline La2YCr at its relaxed geometry.

```
data_La2YCr
_chemical_formula_sum 'La2 Y1 Cr1'
_space_group_name_H-M_alt 'P 1 m 1'
_space_group_IT_number 6
_cell_length_a 3.587
_cell_length_b 4.878
_cell_length_c 6.892
_cell_angle_alpha 90.00
_cell_angle_beta 98.48
_cell_angle_gamma 90.00
loop_
_space_group_symop_operation_xyz
'x,y,z'
'x,-y,z'
loop_
_atom_site_label
_atom_site_type_symbol
_atom_site_fract_x
_atom_site_fract_y
_atom_site_fract_z
La1 La 0.000 0.000 0.000
La2 La 0.456 0.500 0.730
Y1 Y 0.556 0.500 0.279
Cr1 Cr 0.009 0.000 0.487
```

As for the calculated formation energy: 8.3 kcal/mol of atoms.

---

# 12
VASP calculation (PBE) on crystalline La2YCr at its relaxed geometry.

```
data_La2YCr
_chemical_formula_sum 'La2 Y1 Cr1'
_space_group_name_H-M_alt 'P 4/m m m'
_space_group_IT_number 123
_space_group_name_Hall '-P 4 2'
_cell_length_a 5.259
_cell_length_b 5.259
_cell_length_c 4.401
_cell_angle_alpha 90.00
_cell_angle_beta 90.00
_cell_angle_gamma 90.00
loop_
_atom_site_label
_atom_site_type_symbol
_atom_site_fract_x
_atom_site_fract_y
_atom_site_fract_z
La1 La 0.000 0.500 0.000
Y1 Y 0.000 0.000 0.500
Cr1 Cr 0.500 0.500 0.500
```

As for the calculated formation energy: 7.6 kcal/mol of atoms.

---

# 13
VASP calculation (PBE) on crystalline La2YCr at its relaxed geometry.

```
data_La2YCr
_chemical_formula_sum 'La8 Y4 Cr4'
_space_group_name_H-M_alt 'F -4 3 m'
_space_group_IT_number 216
_space_group_name_Hall 'F -4 2 3'
_cell_length_a 7.815
_cell_length_b 7.815
_cell_length_c 7.815
_cell_angle_alpha 90.00
_cell_angle_beta 90.00
_cell_angle_gamma 90.00
loop_
_atom_site_label
_atom_site_type_symbol
_atom_site_fract_x
_atom_site_fract_y
_atom_site_fract_z
La1 La 0.000 0.000 0.000
La2 La 0.250 0.250 0.250
Y1 Y 0.000 0.000 0.500
Cr1 Cr 0.250 0.250 0.750
```

As for the calculated formation energy: 8.3 kcal/mol of atoms.

---

# 14
VASP calculation (PBE) on crystalline LaYCr2 at its relaxed geometry.

```
data_LaYCr2
_chemical_formula_sum 'La4 Y4 Cr8'
_space_group_name_H-M_alt 'F -4 3 m'
_space_group_IT_number 216
_space_group_name_Hall 'F -4 2 3'
_cell_length_a 7.221
_cell_length_b 7.221
_cell_length_c 7.221
_cell_angle_alpha 90.00
_cell_angle_beta 90.00
_cell_angle_gamma 90.00
loop_
_atom_site_label
_atom_site_type_symbol
_atom_site_fract_x
_atom_site_fract_y
_atom_site_fract_z
La1 La 0.000 0.000 0.000
Y1 Y 0.250 0.250 0.250
Cr1 Cr 0.000 0.000 0.500
Cr2 Cr 0.250 0.250 0.750
```

As for the calculated formation energy: 11.6 kcal/mol of atoms.

---

# 15
VASP calculation (PBE) on crystalline LaY2Cr at its relaxed geometry.

```
data_LaY2Cr
_chemical_formula_sum 'La2 Y4 Cr2'
_space_group_name_H-M_alt 'I m m m'
_space_group_IT_number 71
_space_group_name_Hall '-I 2 2'
_cell_length_a 3.778
_cell_length_b 5.522
_cell_length_c 11.274
_cell_angle_alpha 90.00
_cell_angle_beta 90.00
_cell_angle_gamma 90.00
loop_
_atom_site_label
_atom_site_type_symbol
_atom_site_fract_x
_atom_site_fract_y
_atom_site_fract_z
La1 La 0.000 0.000 0.000
Y1 Y 0.000 0.500 0.213
Cr1 Cr 0.000 0.000 0.500
```

As for the calculated formation energy: 5.5 kcal/mol of atoms.